Record 1
A relaxed Sc crystal, computed with PBE-GGA.

Values from the calculation:
ΔE to the lowest computed polymorph = 0.049 eV per atom
Fermi-level density of states = 2.29 states/eV/atom
Electronic total energy = -6.28 eV/f.u.
Formation enthalpy at 0 K = 48.9 meV/atom
SG = Fm-3m, No. 225

Lattice parameters (Å, degrees): 3.260 3.260 3.260 60.00 60.00 60.00
Element x y z (fractional)
Sc  0.000  0.000  0.000

Record 2
A relaxed Sc crystal, computed with PBE-GGA.

Values from the calculation:
ΔE to the lowest computed polymorph = 0.302 eV per atom
Fermi-level density of states = 2.10 states/eV/atom
Electronic total energy = -6.03 eV/f.u.
Formation enthalpy at 0 K = 301.7 meV/atom
SG = P6_3/m, No. 176

Lattice parameters (Å, degrees): 10.784 10.784 3.151 90.00 90.00 120.00
Element x y z (fractional)
Sc  0.052  0.286  0.250
Sc  0.140  0.616  0.250
Sc  0.234  0.948  0.250
Sc  0.286  0.234  0.750
Sc  0.384  0.524  0.250
Sc  0.476  0.860  0.250
Sc  0.524  0.140  0.750
Sc  0.616  0.476  0.750
Sc  0.714  0.766  0.250
Sc  0.766  0.052  0.750
Sc  0.860  0.384  0.750
Sc  0.948  0.714  0.750

Record 3
A relaxed Sc crystal, computed with PBE-GGA.

Values from the calculation:
ΔE to the lowest computed polymorph = 0.410 eV per atom
Fermi-level density of states = 1.60 states/eV/atom
Electronic total energy = -5.92 eV/f.u.
Formation enthalpy at 0 K = 410.2 meV/atom
SG = P6/mmm, No. 191

Lattice parameters (Å, degrees): 3.118 3.118 2.989 90.00 90.00 120.00
Element x y z (fractional)
Sc  0.000  0.000  0.000

Record 4
A relaxed Sc crystal, computed with PBE-GGA.

Values from the calculation:
ΔE to the lowest computed polymorph = 0.057 eV per atom
Fermi-level density of states = 2.00 states/eV/atom
Electronic total energy = -6.27 eV/f.u.
Formation enthalpy at 0 K = 57.0 meV/atom
SG = P6/mmm, No. 191

Lattice parameters (Å, degrees): 5.111 5.111 3.226 90.00 90.00 120.00
Element x y z (fractional)
Sc  0.000  0.000  0.000
Sc  0.333  0.667  0.500
Sc  0.667  0.333  0.500

Record 5
A relaxed Sc crystal, computed with PBE-GGA.

Values from the calculation:
ΔE to the lowest computed polymorph = 0.887 eV per atom
Fermi-level density of states = 1.09 states/eV/atom
Electronic total energy = -5.44 eV/f.u.
Formation enthalpy at 0 K = 887.2 meV/atom
SG = P6_3/mmc, No. 194

Lattice parameters (Å, degrees): 5.084 5.084 4.885 90.00 90.00 120.00
Element x y z (fractional)
Sc  0.000  0.000  0.250
Sc  0.000  0.000  0.750
Sc  0.333  0.667  0.250
Sc  0.667  0.333  0.750

Record 6
A relaxed ScSe5 crystal, computed with PBE-GGA.

Values from the calculation:
Fermi-level density of states = 0.69 states/eV/atom
Electronic total energy = -25.10 eV/f.u.
SG = P4/mmm, No. 123

Lattice parameters (Å, degrees): 3.483 3.483 10.466 90.00 90.00 90.00
Element x y z (fractional)
Sc  0.000  0.000  0.000
Se  0.000  0.000  0.349
Se  0.000  0.000  0.651
Se  0.500  0.500  0.134
Se  0.500  0.500  0.500
Se  0.500  0.500  0.866

Record 7
A relaxed Sc5Se crystal, computed with PBE-GGA.

Values from the calculation:
ΔE to the lowest computed polymorph = 0.141 eV per atom
Fermi-level density of states = 1.35 states/eV/atom
Electronic total energy = -36.87 eV/f.u.
SG = P-62m, No. 189

Lattice parameters (Å, degrees): 5.608 5.608 4.862 90.00 90.00 120.00
Element x y z (fractional)
Sc  0.000  0.690  0.000
Sc  0.310  0.310  0.000
Sc  0.333  0.667  0.500
Sc  0.667  0.333  0.500
Sc  0.690  0.000  0.000
Se  0.000  0.000  0.500

Record 8
A relaxed ScSe2 crystal, computed with PBE-GGA.

Values from the calculation:
Fermi-level density of states = 0.07 states/eV/atom
Electronic total energy = -17.12 eV/f.u.
SG = C2/m, No. 12

Lattice parameters (Å, degrees): 5.305 5.305 7.832 100.96 100.96 40.07
Element x y z (fractional)
Sc  0.064  0.064  0.328
Sc  0.936  0.936  0.672
Se  0.354  0.354  0.385
Se  0.387  0.387  0.908
Se  0.613  0.613  0.092
Se  0.646  0.646  0.615

Record 9
A relaxed ScSe2 crystal, computed with PBE-GGA.

Values from the calculation:
Fermi-level density of states = 0.52 states/eV/atom
Electronic total energy = -16.63 eV/f.u.
SG = Imma, No. 74

Lattice parameters (Å, degrees): 6.061 6.061 6.061 129.58 121.63 80.70
Element x y z (fractional)
Sc  0.369  0.119  0.250
Sc  0.631  0.881  0.750
Se  0.065  0.815  0.250
Se  0.350  0.600  0.750
Se  0.650  0.400  0.250
Se  0.935  0.185  0.750

Record 10
A relaxed ScSe crystal, computed with PBE-GGA.

Values from the calculation:
Fermi-level density of states = 0.88 states/eV/atom
Electronic total energy = -12.22 eV/f.u.
SG = I4_1/amd, No. 141

Lattice parameters (Å, degrees): 6.955 6.955 6.955 148.62 148.62 44.97
Element x y z (fractional)
Sc  0.375  0.625  0.750
Sc  0.625  0.375  0.250
Se  0.125  0.875  0.250
Se  0.875  0.125  0.750

Record 11
A relaxed Sc4Se5 crystal, computed with PBE-GGA.

Values from the calculation:
Fermi-level density of states = 0.51 states/eV/atom
Electronic total energy = -51.83 eV/f.u.
SG = I4/mmm, No. 139

Lattice parameters (Å, degrees): 6.819 6.819 6.819 97.66 97.66 137.16
Element x y z (fractional)
Sc  0.000  0.279  0.279
Sc  0.000  0.721  0.721
Sc  0.279  0.000  0.279
Sc  0.721  0.000  0.721
Se  0.000  0.000  0.000
Se  0.313  0.313  0.627
Se  0.313  0.687  0.000
Se  0.687  0.313  0.000
Se  0.687  0.687  0.373

Record 12
A relaxed ScSe8 crystal, computed with PBE-GGA.

Values from the calculation:
Fermi-level density of states = 0.79 states/eV/atom
Electronic total energy = -34.33 eV/f.u.
SG = I4/mmm, No. 139

Lattice parameters (Å, degrees): 6.925 6.925 6.925 109.20 109.20 110.01
Element x y z (fractional)
Sc  0.000  0.000  0.000
Se  0.000  0.324  0.324
Se  0.000  0.676  0.676
Se  0.324  0.000  0.324
Se  0.340  0.340  0.681
Se  0.340  0.660  0.000
Se  0.660  0.340  0.000
Se  0.660  0.660  0.319
Se  0.676  0.000  0.676